Entry 1:
A plane-wave DFT calculation with PBE was carried out for a relaxed TbZn3Hg3 crystal.

Cell and atoms, written as CIF:
```
data_TbZn3Hg3
_chemical_formula_sum 'Tb2 Zn6 Hg6'
_cell_length_a 7.228
_cell_length_b 7.228
_cell_length_c 7.228
_cell_angle_alpha 90.00
_cell_angle_beta 90.00
_cell_angle_gamma 90.00
_symmetry_space_group_name_H-M 'P m -3 n'
_symmetry_Int_Tables_number 223
_symmetry_space_group_name_Hall '-P 4n 2 3'
loop_
_atom_site_label
_atom_site_fract_x
_atom_site_fract_y
_atom_site_fract_z
Tb1 0.000 0.000 0.000
Zn1 0.000 0.250 0.500
Hg1 0.000 0.500 0.250
```

Values from the calculation:
The energy comes out at -1.005 eV per atom. The density of states at the Fermi level comes out at 0.659 states/eV per atom. As for the spin magnetization: 0.00 Bohr magnetons per cell. Its formation energy is 0.332 eV per atom. Its crystal system is cubic.

=====

Entry 2:
A plane-wave DFT calculation with PBE was carried out for a relaxed Tb5ZnHg4 crystal.

Cell and atoms, written as CIF:
```
data_Tb5ZnHg4
_chemical_formula_sum 'Tb5 Zn1 Hg4'
_cell_length_a 3.692
_cell_length_b 3.692
_cell_length_c 18.682
_cell_angle_alpha 90.00
_cell_angle_beta 90.00
_cell_angle_gamma 90.00
_symmetry_space_group_name_H-M 'P 4/m m m'
_symmetry_Int_Tables_number 123
_symmetry_space_group_name_Hall '-P 4 2'
loop_
_atom_site_label
_atom_site_fract_x
_atom_site_fract_y
_atom_site_fract_z
Tb1 0.000 0.000 0.000
Tb2 0.000 0.000 0.204
Tb3 0.000 0.000 0.408
Zn1 0.500 0.500 0.500
Hg1 0.500 0.500 0.102
Hg2 0.500 0.500 0.306
```

Values from the calculation:
The energy comes out at -3.013 eV per atom. The density of states at the Fermi level comes out at 1.156 states/eV per atom. As for the spin magnetization: 0.54 Bohr magnetons per cell. Its formation energy is -0.450 eV per atom. Its crystal system is tetragonal.

=====

Entry 3:
A plane-wave DFT calculation with PBE was carried out for a relaxed Tb3Zn9Hg2 crystal.

Cell and atoms, written as CIF:
```
data_Tb3Zn9Hg2
_chemical_formula_sum 'Tb6 Zn18 Hg4'
_cell_length_a 4.466
_cell_length_b 9.027
_cell_length_c 13.279
_cell_angle_alpha 90.00
_cell_angle_beta 90.00
_cell_angle_gamma 90.00
_symmetry_space_group_name_H-M 'I m m m'
_symmetry_Int_Tables_number 71
_symmetry_space_group_name_Hall '-I 2 2'
loop_
_atom_site_label
_atom_site_fract_x
_atom_site_fract_y
_atom_site_fract_z
Tb1 0.000 0.000 0.000
Tb2 0.000 0.000 0.294
Zn1 0.000 0.277 0.145
Zn2 0.000 0.365 0.335
Zn3 0.000 0.500 0.000
Hg1 0.000 0.193 0.500
```

Values from the calculation:
The energy comes out at -2.154 eV per atom. The density of states at the Fermi level comes out at 0.522 states/eV per atom. As for the spin magnetization: 0.00 Bohr magnetons per cell. Its formation energy is -0.300 eV per atom. Its crystal system is orthorhombic.

=====

Entry 4:
A plane-wave DFT calculation with PBE was carried out for a relaxed Tb8Zn2Hg crystal.

Cell and atoms, written as CIF:
```
data_Tb8Zn2Hg
_chemical_formula_sum 'Tb16 Zn4 Hg2'
_cell_length_a 4.980
_cell_length_b 8.314
_cell_length_c 14.661
_cell_angle_alpha 90.00
_cell_angle_beta 90.00
_cell_angle_gamma 90.00
_symmetry_space_group_name_H-M 'I m m m'
_symmetry_Int_Tables_number 71
_symmetry_space_group_name_Hall '-I 2 2'
loop_
_atom_site_label
_atom_site_fract_x
_atom_site_fract_y
_atom_site_fract_z
Tb1 0.000 0.000 0.136
Tb2 0.000 0.218 0.335
Tb3 0.000 0.316 0.000
Zn1 0.000 0.500 0.194
Hg1 0.000 0.500 0.500
```

Values from the calculation:
The energy comes out at -3.722 eV per atom. The distance to the lowest polymorph of the same formula is 71 meV/atom. The density of states at the Fermi level comes out at 1.272 states/eV per atom. As for the spin magnetization: 0.00 Bohr magnetons per cell. Its formation energy is -0.095 eV per atom. Its crystal system is orthorhombic.

=====

Entry 5:
A plane-wave DFT calculation with PBE was carried out for a relaxed Tb2ZnHg3 crystal.

Cell and atoms, written as CIF:
```
data_Tb2ZnHg3
_chemical_formula_sum 'Tb16 Zn8 Hg24'
_cell_length_a 6.992
_cell_length_b 9.638
_cell_length_c 16.706
_cell_angle_alpha 90.00
_cell_angle_beta 90.00
_cell_angle_gamma 90.00
_symmetry_space_group_name_H-M 'F m m m'
_symmetry_Int_Tables_number 69
_symmetry_space_group_name_Hall '-F 2 2'
loop_
_atom_site_label
_atom_site_fract_x
_atom_site_fract_y
_atom_site_fract_z
Tb1 0.248 0.000 0.000
Tb2 0.250 0.250 0.250
Zn1 0.000 0.000 0.333
Hg1 0.000 0.000 0.172
Hg2 0.000 0.241 0.414
```

Values from the calculation:
The energy comes out at -2.314 eV per atom. The density of states at the Fermi level comes out at 0.542 states/eV per atom. As for the spin magnetization: 0.00 Bohr magnetons per cell. Its formation energy is -0.408 eV per atom. Its crystal system is orthorhombic.

=====

Entry 6:
A plane-wave DFT calculation with PBE was carried out for a relaxed Tb4Zn2Hg crystal.

Cell and atoms, written as CIF:
```
data_Tb4Zn2Hg
_chemical_formula_sum 'Tb12 Zn6 Hg3'
_cell_length_a 4.9591
_cell_length_b 4.9591
_cell_length_c 27.3794
_cell_angle_alpha 90.00
_cell_angle_beta 90.00
_cell_angle_gamma 120.00
_symmetry_space_group_name_H-M 'R -3 m'
_symmetry_Int_Tables_number 166
_symmetry_space_group_name_Hall '-R 3 2"'
loop_
_atom_site_label
_atom_site_fract_x
_atom_site_fract_y
_atom_site_fract_z
Tb1 0.0000 0.0000 0.1190
Tb2 0.0000 0.0000 0.2969
Zn1 0.0000 0.0000 0.4027
Hg1 0.0000 0.0000 0.5000
```

Values from the calculation:
The energy comes out at -3.150 eV per atom. The distance to the lowest polymorph of the same formula is 125 meV/atom. The density of states at the Fermi level comes out at 1.523 states/eV per atom. As for the spin magnetization: 0.01 Bohr magnetons per cell. Its formation energy is -0.097 eV per atom. Its crystal system is trigonal.